(1)
Material: KPm2Sc3Se6
Method: DFT, GGA-PBE
State: optimized geometry

The structure belongs to space group C2/m (No. 12); the cell edges are 17.918, 3.995 and 8.334 Å and the angles 90.00°, 105.02° and 90.00°. Symmetry generates all atoms from K at (0.000, 0.000, 0.000), Pm at (0.170, 0.500, 0.343), Sc at (0.000, 0.000, 0.500), Sc at (0.165, 0.500, 0.821), Se at (0.004, 0.500, 0.724), Se at (0.160, 0.000, 0.596) and Se at (0.176, 0.000, 0.071).

Its volume is 24.0 Å³/atom. As for the density of states at the Fermi level: 0.3668 states/eV/atom. Its formation energy (no corrections) is -1.66 eV per atom. The total magnetization comes out at 0.00 Bohr magnetons per cell.

(2)
Material: K2PmScSe4
Method: DFT, GGA-PBE
State: optimized geometry

The structure belongs to space group P2/m (No. 10); the cell edges are 7.226, 4.174 and 8.034 Å and the angles 90.00°, 107.41° and 90.00°. Symmetry generates all atoms from K at (0.000, 0.000, 0.000), K at (0.500, 0.500, 0.000), Pm at (0.000, 0.500, 0.500), Sc at (0.500, 0.000, 0.500), Se at (0.252, 0.000, 0.706) and Se at (0.283, 0.500, 0.302).

Its volume is 28.9 Å³/atom. As for the density of states at the Fermi level: 0.0000 states/eV/atom. Its formation energy (no corrections) is -1.67 eV per atom. The total magnetization comes out at 0.00 Bohr magnetons per cell.

(3)
Material: K2PmScTe4
Method: DFT, GGA-PBE
State: optimized geometry

The structure belongs to space group P2/m (No. 10); the cell edges are 7.724, 4.453 and 8.620 Å and the angles 90.00°, 107.32° and 90.00°. Symmetry generates all atoms from K at (0.000, 0.000, 0.000), K at (0.500, 0.500, 0.000), Pm at (0.000, 0.500, 0.500), Sc at (0.500, 0.000, 0.500), Te at (0.252, 0.000, 0.709) and Te at (0.281, 0.500, 0.299).

Its volume is 35.4 Å³/atom. Its formation energy (no corrections) is -1.32 eV per atom. The total magnetization comes out at 0.00 Bohr magnetons per cell.

(4)
Material: KPm2Se3
Method: DFT, GGA-PBE
State: optimized geometry

The structure belongs to space group Pmc2_1 (No. 26); the cell edges are 4.098, 12.205 and 7.493 Å and the angles 90.00°, 90.00° and 90.00°. Symmetry generates all atoms from K at (0.000, 0.123, 0.000), Pm at (0.000, 0.223, 0.504), Pm at (0.500, 0.494, 0.999), Se at (0.000, 0.404, 0.746), Se at (0.500, 0.085, 0.646) and Se at (0.500, 0.306, 0.252).

Its volume is 31.2 Å³/atom. As for the density of states at the Fermi level: 0.2742 states/eV/atom. Its formation energy (no corrections) is -1.62 eV per atom. The offset from the most stable computed form is 0.160 eV per atom. The total magnetization comes out at 0.00 Bohr magnetons per cell.

(5)
Material: KPm2Se3
Method: DFT, GGA-PBE
State: optimized geometry

The structure belongs to space group P6_3/mmc (No. 194); the cell edges are 4.2462, 4.2462 and 22.4777 Å and the angles 90.00°, 90.00° and 120.00°. Symmetry generates all atoms from K at (0.0000, 0.0000, 0.2500), Pm at (0.3333, 0.6667, 0.0772), Se at (0.0000, 0.0000, 0.0000) and Se at (0.3333, 0.6667, 0.6499).

Its volume is 29.2 Å³/atom. As for the density of states at the Fermi level: 0.3111 states/eV/atom. Its formation energy (no corrections) is -1.78 eV per atom. The offset from the most stable computed form is 0.000 eV per atom. The total magnetization comes out at 0.00 Bohr magnetons per cell.

(6)
Material: KPm5Se6
Method: DFT, GGA-PBE
State: optimized geometry

The structure belongs to space group C2/m (No. 12); the cell edges are 7.340, 12.696 and 7.380 Å and the angles 90.00°, 109.40° and 90.00°. Symmetry generates all atoms from K at (0.000, 0.000, 0.000), Pm at (0.000, 0.160, 0.500), Pm at (0.000, 0.334, 0.000), Pm at (0.000, 0.500, 0.500), Se at (0.242, 0.500, 0.249) and Se at (0.243, 0.329, 0.742).

Its volume is 27.0 Å³/atom. As for the density of states at the Fermi level: 0.4299 states/eV/atom. Its formation energy (no corrections) is -1.78 eV per atom. The total magnetization comes out at 0.00 Bohr magnetons per cell.

(7)
Material: KPmSiSe4
Method: DFT, GGA-PBE
State: optimized geometry

The structure belongs to space group P2_1/m (No. 11); the cell edges are 6.791, 6.965 and 9.159 Å and the angles 90.00°, 107.42° and 90.00°. Symmetry generates all atoms from K at (0.240, 0.250, 0.437), Pm at (0.270, 0.250, 0.948), Si at (0.280, 0.750, 0.177), Se at (0.083, 0.750, 0.338), Se at (0.087, 0.750, 0.926) and Se at (0.495, 0.505, 0.781).

Its volume is 29.5 Å³/atom. As for the density of states at the Fermi level: 0.0000 states/eV/atom. Its formation energy (no corrections) is -1.24 eV per atom. The total magnetization comes out at 0.00 Bohr magnetons per cell.

(8)
Material: K3PmSm2Se6
Method: DFT, GGA-PBE
State: optimized geometry

The structure belongs to space group C2/m (No. 12); the cell edges are 7.455, 12.914 and 8.089 Å and the angles 90.00°, 107.89° and 90.00°. Symmetry generates all atoms from K at (0.000, 0.000, 0.000), K at (0.000, 0.333, 0.000), Pm at (0.000, 0.500, 0.500), Sm at (0.000, 0.167, 0.500), Se at (0.235, 0.000, 0.709) and Se at (0.237, 0.333, 0.709).

Its volume is 30.9 Å³/atom. As for the density of states at the Fermi level: 0.0000 states/eV/atom. Its formation energy (no corrections) is -1.76 eV per atom. The total magnetization comes out at 0.00 Bohr magnetons per cell.

(9)
Material: KPm2SmSe4
Method: DFT, GGA-PBE
State: optimized geometry

The structure belongs to space group P2/m (No. 10); the cell edges are 7.423, 4.212 and 7.431 Å and the angles 90.00°, 108.64° and 90.00°. Symmetry generates all atoms from K at (0.000, 0.000, 0.000), Pm at (0.500, 0.000, 0.500), Pm at (0.500, 0.500, 0.000), Sm at (0.000, 0.500, 0.500), Se at (0.253, 0.000, 0.744) and Se at (0.263, 0.500, 0.265).

Its volume is 27.5 Å³/atom. As for the density of states at the Fermi level: 0.3596 states/eV/atom. Its formation energy (no corrections) is -1.75 eV per atom. The total magnetization comes out at 0.00 Bohr magnetons per cell.

(10)
Material: K2PmSmSe4
Method: DFT, GGA-PBE
State: optimized geometry

The structure belongs to space group P2/m (No. 10); the cell edges are 7.464, 4.310 and 8.090 Å and the angles 90.00°, 107.89° and 90.00°. Symmetry generates all atoms from K at (0.000, 0.000, 0.000), K at (0.500, 0.500, 0.000), Pm at (0.000, 0.500, 0.500), Sm at (0.500, 0.000, 0.500), Se at (0.238, 0.000, 0.710) and Se at (0.265, 0.500, 0.291).

Its volume is 31.0 Å³/atom. As for the density of states at the Fermi level: 0.0000 states/eV/atom. Its formation energy (no corrections) is -1.76 eV per atom. The total magnetization comes out at 0.00 Bohr magnetons per cell.

(11)
Material: K4PmSm3Se8
Method: DFT, GGA-PBE
State: optimized geometry

The structure belongs to space group R-3m (No. 166, hexagonal axes); the cell edges are 8.6087, 8.6087 and 23.0942 Å and the angles 90.00°, 90.00° and 120.00°. Symmetry generates all atoms from K at (0.0000, 0.0000, 0.0000), K at (0.0000, 0.5000, 0.0000), Pm at (0.0000, 0.0000, 0.5000), Sm at (0.0000, 0.5000, 0.5000), Se at (0.0000, 0.0000, 0.2363) and Se at (0.0010, 0.5005, 0.7636).

Its volume is 30.9 Å³/atom. As for the density of states at the Fermi level: 0.0000 states/eV/atom. Its formation energy (no corrections) is -1.76 eV per atom. The total magnetization comes out at 0.00 Bohr magnetons per cell.

(12)
Material: KPm2Sm3Se6
Method: DFT, GGA-PBE
State: optimized geometry

The structure belongs to space group C2/m (No. 12); the cell edges are 18.490, 4.194 and 8.571 Å and the angles 90.00°, 103.56° and 90.00°. Symmetry generates all atoms from K at (0.000, 0.000, 0.000), Pm at (0.170, 0.500, 0.344), Sm at (0.000, 0.000, 0.500), Sm at (0.164, 0.500, 0.823), Se at (0.002, 0.500, 0.265), Se at (0.164, 0.000, 0.585) and Se at (0.173, 0.000, 0.084).

Its volume is 26.9 Å³/atom. As for the density of states at the Fermi level: 0.3452 states/eV/atom. Its formation energy (no corrections) is -1.78 eV per atom. The total magnetization comes out at 0.00 Bohr magnetons per cell.

(13)
Material: KPmSm2Se4
Method: DFT, GGA-PBE
State: optimized geometry

The structure belongs to space group P2/m (No. 10); the cell edges are 7.414, 4.201 and 7.423 Å and the angles 90.00°, 108.60° and 90.00°. Symmetry generates all atoms from K at (0.000, 0.000, 0.000), Pm at (0.500, 0.500, 0.000), Sm at (0.000, 0.500, 0.500), Sm at (0.500, 0.000, 0.500), Se at (0.254, 0.000, 0.743) and Se at (0.264, 0.500, 0.266).

Its volume is 27.4 Å³/atom. As for the density of states at the Fermi level: 0.3558 states/eV/atom. Its formation energy (no corrections) is -1.75 eV per atom. The total magnetization comes out at 0.00 Bohr magnetons per cell.

(14)
Material: KPmSnSe3
Method: DFT, GGA-PBE
State: optimized geometry

The structure belongs to space group Cmcm (No. 63); the cell edges are 4.230, 16.867 and 12.027 Å and the angles 90.00°, 90.00° and 90.00°. Symmetry generates all atoms from K at (0.000, 0.171, 0.250), Pm at (0.000, 0.500, 0.000), Sn at (0.000, 0.117, 0.750), Se at (0.000, 0.119, 0.507) and Se at (0.000, 0.493, 0.250).

Its volume is 35.7 Å³/atom. Its formation energy (no corrections) is -1.17 eV per atom. The total magnetization comes out at 0.00 Bohr magnetons per cell.

(15)
Material: K4Pm3SnSe8
Method: DFT, GGA-PBE
State: optimized geometry

The structure belongs to space group R-3m (No. 166, hexagonal axes); the cell edges are 8.6059, 8.6059 and 23.0857 Å and the angles 90.00°, 90.00° and 120.00°. Symmetry generates all atoms from K at (0.0000, 0.0000, 0.0000), K at (0.0000, 0.5000, 0.0000), Pm at (0.0000, 0.5000, 0.5000), Sn at (0.0000, 0.0000, 0.5000), Se at (0.0000, 0.0000, 0.2369) and Se at (0.0049, 0.5025, 0.2356).

Its volume is 30.8 Å³/atom. As for the density of states at the Fermi level: 0.1094 states/eV/atom. Its formation energy (no corrections) is -1.49 eV per atom. The total magnetization comes out at 0.00 Bohr magnetons per cell.

(16)
Material: KPm2Sn3Se6
Method: DFT, GGA-PBE
State: optimized geometry

The structure belongs to space group C2/m (No. 12); the cell edges are 18.818, 4.445 and 8.561 Å and the angles 90.00°, 100.99° and 90.00°. Symmetry generates all atoms from K at (0.000, 0.000, 0.000), Pm at (0.169, 0.500, 0.335), Sn at (0.000, 0.000, 0.500), Sn at (0.163, 0.500, 0.854), Se at (0.015, 0.500, 0.273), Se at (0.168, 0.000, 0.574) and Se at (0.182, 0.000, 0.098).

Its volume is 29.3 Å³/atom. As for the density of states at the Fermi level: 0.2412 states/eV/atom. Its formation energy (no corrections) is -1.02 eV per atom. The total magnetization comes out at 0.00 Bohr magnetons per cell.

(17)
Material: KSr2PmSe4
Method: DFT, GGA-PBE
State: optimized geometry

The structure belongs to space group P2/m (No. 10); the cell edges are 7.572, 4.416 and 7.731 Å and the angles 90.00°, 108.55° and 90.00°. Symmetry generates all atoms from K at (0.000, 0.000, 0.000), Sr at (0.500, 0.000, 0.500), Sr at (0.500, 0.500, 0.000), Pm at (0.000, 0.500, 0.500), Se at (0.239, 0.000, 0.732) and Se at (0.250, 0.500, 0.272).

Its volume is 30.6 Å³/atom. Its formation energy (no corrections) is -1.85 eV per atom. The total magnetization comes out at 0.00 Bohr magnetons per cell.

(18)
Material: K3Pm3TaSe8
Method: DFT, GGA-PBE
State: optimized geometry

The structure belongs to space group R-3m (No. 166, hexagonal axes); the cell edges are 8.3374, 8.3374 and 23.6515 Å and the angles 90.00°, 90.00° and 120.00°. Symmetry generates all atoms from K at (0.0000, 0.5000, 0.0000), Pm at (0.0000, 0.5000, 0.5000), Ta at (0.0000, 0.0000, 0.5000), Se at (0.0000, 0.0000, 0.2377) and Se at (0.0302, 0.5151, 0.2319).

Its volume is 31.6 Å³/atom. As for the density of states at the Fermi level: 0.2951 states/eV/atom. Its formation energy (no corrections) is -1.49 eV per atom. The total magnetization comes out at 2.89 Bohr magnetons per cell.

(19)
Material: K4Tb3PmSe8
Method: DFT, GGA-PBE
State: optimized geometry

The structure belongs to space group R-3m (No. 166, hexagonal axes); the cell edges are 8.5070, 8.5070 and 23.0668 Å and the angles 90.00°, 90.00° and 120.00°. Symmetry generates all atoms from K at (0.0000, 0.0000, 0.0000), K at (0.0000, 0.5000, 0.0000), Tb at (0.0000, 0.5000, 0.5000), Pm at (0.0000, 0.0000, 0.5000), Se at (0.0000, 0.0000, 0.2351) and Se at (0.0046, 0.5023, 0.7642).

Its volume is 30.1 Å³/atom. As for the density of states at the Fermi level: 0.0000 states/eV/atom. Its formation energy (no corrections) is -1.76 eV per atom. The total magnetization comes out at 0.00 Bohr magnetons per cell.

(20)
Material: K3TbPm2Se6
Method: DFT, GGA-PBE
State: optimized geometry

The structure belongs to space group C2/m (No. 12); the cell edges are 7.431, 12.871 and 8.087 Å and the angles 90.00°, 107.84° and 90.00°. Symmetry generates all atoms from K at (0.000, 0.000, 0.000), K at (0.000, 0.333, 0.000), Tb at (0.000, 0.500, 0.500), Pm at (0.000, 0.167, 0.500), Se at (0.234, 0.336, 0.708) and Se at (0.241, 0.000, 0.708).

Its volume is 30.7 Å³/atom. As for the density of states at the Fermi level: 0.0000 states/eV/atom. Its formation energy (no corrections) is -1.76 eV per atom. The total magnetization comes out at 0.00 Bohr magnetons per cell.